1.
Compound: Ce2ReTcN5
Source: the Alexandria database
Functional: PBE
Structure: relaxed

formation energy without anion corrections: -5.20 eV per formula unit
magnetization: 0.412 μB per cell
V: 121 Å³ per cell

Cell: 3.891 3.891 7.959 Å, 90.00 90.00 90.00°
Fractional positions:
Ce  0.000  0.000  0.228
Ce  0.000  0.000  0.772
Re  0.500  0.500  0.000
Tc  0.500  0.500  0.500
N  0.000  0.000  0.500
N  0.000  0.500  0.000
N  0.500  0.000  0.000
N  0.500  0.500  0.261
N  0.500  0.500  0.739

=====

2.
Compound: CeTh2ReN5
Source: the Alexandria database
Functional: PBE
Structure: relaxed

formation energy without anion corrections: -10.09 eV per formula unit
magnetization: 1.731 μB per cell
V: 270 Å³ per cell

Cell: 7.587 7.587 7.587 Å, 126.93 126.93 78.36°
Fractional positions:
Ce  0.250  0.250  0.000
Ce  0.750  0.750  0.000
Th  0.177  0.677  0.853
Th  0.323  0.177  0.500
Th  0.677  0.823  0.500
Th  0.823  0.323  0.147
Re  0.250  0.750  0.500
Re  0.750  0.250  0.500
N  0.000  0.000  0.000
N  0.007  0.211  0.500
N  0.211  0.711  0.204
N  0.289  0.493  0.500
N  0.493  0.993  0.204
N  0.500  0.500  0.000
N  0.507  0.007  0.796
N  0.711  0.507  0.500
N  0.789  0.289  0.796
N  0.993  0.789  0.500

=====

3.
Compound: Ce2ThReN5
Source: the Alexandria database
Functional: PBE
Structure: relaxed

formation energy without anion corrections: -9.94 eV per formula unit
magnetization: 0.000 μB per cell
V: 255 Å³ per cell

Cell: 7.464 7.464 7.464 Å, 127.40 127.40 77.60°
Fractional positions:
Ce  0.172  0.672  0.843
Ce  0.328  0.172  0.500
Ce  0.672  0.828  0.500
Ce  0.828  0.328  0.157
Th  0.250  0.250  0.000
Th  0.750  0.750  0.000
Re  0.250  0.750  0.500
Re  0.750  0.250  0.500
N  0.000  0.000  0.000
N  0.012  0.203  0.500
N  0.203  0.703  0.191
N  0.297  0.488  0.500
N  0.488  0.988  0.191
N  0.500  0.500  0.000
N  0.512  0.012  0.809
N  0.703  0.512  0.500
N  0.797  0.297  0.809
N  0.988  0.797  0.500